This record from Alexandria via LeMat-Bulk describes a relaxed structure of Sr2FePbO6. The functional is GGA+U.

POSCAR file:
```
Sr2FePbO6
1.0
5.7824 0.0000 -0.0430
0.0000 5.7826 0.0000
-0.0118 0.0000 8.1777
Sr Fe O Pb
4 2 12 2
Direct
0.5072 0.5328 0.7487
0.0072 0.9672 0.2487
0.4928 0.4672 0.2513
0.9928 0.0328 0.7513
0.5000 0.0000 0.5000
0.0000 0.5000 0.0000
0.2989 0.7277 0.4609
0.7989 0.7723 0.9609
0.2717 0.7042 0.0379
0.7011 0.2723 0.5391
0.9276 0.5172 0.2388
0.7283 0.2958 0.9621
0.7717 0.7958 0.5379
0.0724 0.4828 0.7612
0.2011 0.2277 0.0391
0.5724 0.0172 0.2612
0.4276 0.9828 0.7388
0.2283 0.2042 0.4621
0.0000 0.5000 0.5000
0.5000 0.0000 0.0000
```

## Properties
For the total magnetic moment, the calculation gives 0.3957 μB per atom. As for the crystal system: monoclinic. The raw total energy is -0.4424 Ry/atom.